Entry 1:
Entry from Alexandria via LeMat-Bulk: an optimized crystal structure of Ho7Sb2Pb2 (PBE).

Cell: 7.076 7.076 7.134 Å, 90.00 90.00 101.72°
Positions (direct):
Ho: 0.000 0.000 0.000
Ho: 0.000 0.500 0.272
Ho: 0.000 0.500 0.728
Ho: 0.500 0.000 0.272
Ho: 0.500 0.000 0.728
Ho: 0.500 0.500 0.261
Ho: 0.500 0.500 0.739
Sb: 0.277 0.723 0.000
Sb: 0.723 0.277 0.000
Pb: 0.186 0.186 0.500
Pb: 0.814 0.814 0.500

Calculated values
ΔE_f (raw) (eV/atom): -0.31

Entry 2:
Entry from Alexandria via LeMat-Bulk: an optimized crystal structure of Ho3SbPb (PBE).

Cell: 4.627 8.637 10.053 Å, 105.88 90.10 105.46°
Positions (direct):
Ho: 0.018 0.036 0.185
Ho: 0.179 0.356 0.562
Ho: 0.357 0.714 0.962
Ho: 0.643 0.286 0.038
Ho: 0.821 0.644 0.438
Ho: 0.982 0.964 0.815
Sb: 0.165 0.332 0.852
Sb: 0.835 0.668 0.148
Pb: 0.374 0.750 0.647
Pb: 0.626 0.250 0.353

Calculated values
ΔE_f (raw) (eV/atom): -0.29

Entry 3:
Entry from Alexandria via LeMat-Bulk: an optimized crystal structure of Ho8Sb2Pb (PBE).

Cell: 9.745 9.745 7.310 Å, 97.84 97.84 28.48°
Positions (direct):
Ho: 0.013 0.013 0.246
Ho: 0.215 0.215 0.853
Ho: 0.335 0.335 0.472
Ho: 0.403 0.403 0.002
Ho: 0.597 0.597 0.998
Ho: 0.665 0.665 0.528
Ho: 0.785 0.785 0.147
Ho: 0.987 0.987 0.754
Sb: 0.179 0.179 0.266
Sb: 0.821 0.821 0.734
Pb: 0.500 0.500 0.500

Calculated values
ΔE_f (raw) (eV/atom): -0.40

Entry 4:
Entry from Alexandria via LeMat-Bulk: an optimized crystal structure of Ho4Sb3Pb (PBE).

Cell: 6.199 6.199 6.199 Å, 90.00 90.00 90.00°
Positions (direct):
Ho: 0.000 0.000 0.000
Ho: 0.000 0.500 0.500
Ho: 0.500 0.000 0.500
Ho: 0.500 0.500 0.000
Sb: 0.000 0.000 0.500
Sb: 0.000 0.500 0.000
Sb: 0.500 0.000 0.000
Pb: 0.500 0.500 0.500

Calculated values
ΔE_f (raw) (eV/atom): -0.90

no.,energy (eV/atom)
1,-4.643
2,-4.606
3,-4.819
4,-5.202